First-principles (PBE) data for an optimized crystal structure of Tb2PmPrNd4, as listed in Alexandria.

Computed properties:
DFT total energy (eV per atom): -4.72
Energy of formation from the pure elements (eV/atom): 0.015

Structure (CIF):
```
data_Tb2PmPrNd4
_chemical_formula_sum 'Tb2 Pm1 Pr1 Nd4'
_cell_length_a 6.3140
_cell_length_b 3.6602
_cell_length_c 12.1175
_cell_angle_alpha 90.00
_cell_angle_beta 100.20
_cell_angle_gamma 90.00
_symmetry_space_group_name_H-M 'P 1 2/m 1'
_symmetry_Int_Tables_number 10
_symmetry_space_group_name_Hall '-P 2y'
loop_
_atom_site_label
_atom_site_type_symbol
_atom_site_fract_x
_atom_site_fract_y
_atom_site_fract_z
_atom_site_occupancy
Tb1 Tb 0.0000 0.0000 0.0000 1
Tb2 Tb 0.0000 0.5000 0.5000 1
Pm1 Pm 0.5000 0.0000 0.5000 1
Pr1 Pr 0.5000 0.5000 0.0000 1
Nd1 Nd 0.2479 0.0000 0.7481 1
Nd2 Nd 0.2496 0.5000 0.2500 1
```